# PBE Ti2Ga6Ni, optimized geometry
data_Ti2Ga6Ni
_chemical_formula_sum 'Ti4 Ga12 Ni2'
_cell_length_a 14.9977
_cell_length_b 6.6742
_cell_length_c 2.9416
_cell_angle_alpha 90.00
_cell_angle_beta 90.13
_cell_angle_gamma 90.00
_space_group_name_H-M_alt 'C 1 2/m 1'
_space_group_IT_number 12
_space_group_name_Hall '-C 2y'
loop_
_atom_site_label
_atom_site_type_symbol
_atom_site_fract_x
_atom_site_fract_y
_atom_site_fract_z
Ti1 Ti 0.2097 0.0000 0.0002
Ga1 Ga 0.0000 0.1954 0.0000
Ga2 Ga 0.1498 0.3107 0.4995
Ni1 Ni 0.0000 0.5000 0.5000
# ΔH_f (0 K) in eV/atom: -0.218
# E in eV/atom: -4.6323
# Magnetic moment in Bohr magnetons per cell: 0.000


# PBE Ho6AuC3, optimized geometry
data_Ho6AuC3
_chemical_formula_sum 'Ho12 Au2 C6'
_cell_length_a 10.8295
_cell_length_b 3.6122
_cell_length_c 11.3080
_cell_angle_alpha 90.00
_cell_angle_beta 108.69
_cell_angle_gamma 90.00
_space_group_name_H-M_alt 'P 1 21/m 1'
_space_group_IT_number 11
_space_group_name_Hall '-P 2yb'
loop_
_atom_site_label
_atom_site_type_symbol
_atom_site_fract_x
_atom_site_fract_y
_atom_site_fract_z
Ho1 Ho 0.0361 0.2500 0.3768
Ho2 Ho 0.1406 0.7500 0.1319
Ho3 Ho 0.2552 0.2500 0.6697
Ho4 Ho 0.3199 0.7500 0.4332
Ho5 Ho 0.3625 0.7500 0.9486
Ho6 Ho 0.4435 0.2500 0.2360
Au1 Au 0.1314 0.2500 0.8890
C1 C 0.1521 0.7500 0.5312
C2 C 0.2362 0.2500 0.2850
C3 C 0.4635 0.2500 0.8536
# ΔH_f (0 K) in eV/atom: -0.389
# E in eV/atom: -6.2309
# Magnetic moment in Bohr magnetons per cell: 0.679


# PBE Pm5Sm3Y4, optimized geometry
data_Pm5Sm3Y4
_chemical_formula_sum 'Pm5 Sm3 Y4'
_cell_length_a 6.2696
_cell_length_b 7.2328
_cell_length_c 8.8595
_cell_angle_alpha 90.04
_cell_angle_beta 90.03
_cell_angle_gamma 90.03
_space_group_name_H-M_alt 'P -1'
_space_group_IT_number 2
_space_group_name_Hall '-P 1'
loop_
_atom_site_label
_atom_site_type_symbol
_atom_site_fract_x
_atom_site_fract_y
_atom_site_fract_z
Pm1 Pm 0.0000 0.0000 0.0000
Pm2 Pm 0.3331 0.5007 0.3343
Pm3 Pm 0.4998 0.2492 0.9997
Sm1 Sm 0.0000 0.5000 0.0000
Sm2 Sm 0.1668 0.2496 0.6660
Y1 Y 0.1667 0.7511 0.6654
Y2 Y 0.3333 0.0001 0.3345
# ΔH_f (0 K) in eV/atom: 0.013
# E in eV/atom: -5.3011
# Magnetic moment in Bohr magnetons per cell: 0.000


# PBE TmPu2V, optimized geometry
data_TmPu2V
_chemical_formula_sum 'Tm3 Pu6 V3'
_cell_length_a 3.2476
_cell_length_b 3.2476
_cell_length_c 30.6292
_cell_angle_alpha 90.00
_cell_angle_beta 90.00
_cell_angle_gamma 120.00
_space_group_name_H-M_alt 'R -3 m'
_space_group_IT_number 166
_space_group_name_Hall '-R 3 2"'
loop_
_atom_site_label
_atom_site_type_symbol
_atom_site_fract_x
_atom_site_fract_y
_atom_site_fract_z
Tm1 Tm 0.0000 0.0000 0.0000
Pu1 Pu 0.0000 0.0000 0.2396
V1 V 0.0000 0.0000 0.5000
# ΔH_f (0 K) in eV/atom: 0.393
# E in eV/atom: -10.1707
# Magnetic moment in Bohr magnetons per cell: 35.212


# PBE InAg2I, optimized geometry
data_InAg2I
_chemical_formula_sum 'In1 Ag2 I1'
_cell_length_a 3.8130
_cell_length_b 4.4983
_cell_length_c 7.3692
_cell_angle_alpha 72.61
_cell_angle_beta 75.04
_cell_angle_gamma 89.99
_space_group_name_H-M_alt 'P 1'
_space_group_IT_number 1
_space_group_name_Hall 'P 1'
loop_
_atom_site_label
_atom_site_type_symbol
_atom_site_fract_x
_atom_site_fract_y
_atom_site_fract_z
In1 In 0.0000 0.0000 0.0000
Ag1 Ag 0.1396 0.6348 0.7206
Ag2 Ag 0.4824 0.4838 0.0352
I1 I 0.2607 0.2608 0.4629
# E in eV/atom: -2.5039
# Magnetic moment in Bohr magnetons per cell: 0.000
# Energy relative to the elements, uncorrected in meV/atom: -6


# PBE AcPm2InN4, optimized geometry
data_AcPm2InN4
_chemical_formula_sum 'Ac4 Pm8 In4 N16'
_cell_length_a 3.6238
_cell_length_b 12.3062
_cell_length_c 12.5106
_cell_angle_alpha 90.00
_cell_angle_beta 90.00
_cell_angle_gamma 90.00
_space_group_name_H-M_alt 'C m c m'
_space_group_IT_number 63
_space_group_name_Hall '-C 2c 2'
loop_
_atom_site_label
_atom_site_type_symbol
_atom_site_fract_x
_atom_site_fract_y
_atom_site_fract_z
Ac1 Ac 0.0000 0.1120 0.2500
Pm1 Pm 0.0000 0.3701 0.0376
In1 In 0.0000 0.1522 0.7500
N1 N 0.0000 0.0000 0.0000
N2 N 0.0000 0.2665 0.6196
N3 N 0.0000 0.4532 0.2500
# E in eV/atom: -7.1092
# Magnetic moment in Bohr magnetons per cell: 0.000
# Energy relative to the elements, uncorrected in meV/atom: -903


# PBE Ca2MnAl, optimized geometry
data_Ca2MnAl
_chemical_formula_sum 'Ca2 Mn1 Al1'
_cell_length_a 3.7446
_cell_length_b 3.8102
_cell_length_c 7.1753
_cell_angle_alpha 90.00
_cell_angle_beta 90.07
_cell_angle_gamma 90.00
_space_group_name_H-M_alt 'P 1 2/m 1'
_space_group_IT_number 10
_space_group_name_Hall '-P 2y'
loop_
_atom_site_label
_atom_site_type_symbol
_atom_site_fract_x
_atom_site_fract_y
_atom_site_fract_z
Ca1 Ca 0.9999 0.0000 0.2500
Mn1 Mn 0.5000 0.5000 0.0000
Al1 Al 0.5000 0.5000 0.5000
# ΔH_f (0 K) in eV/atom: 0.176
# E in eV/atom: -4.0529
# Magnetic moment in Bohr magnetons per cell: 4.007


# PBE Mn4V9Ga11, optimized geometry
data_Mn4V9Ga11
_chemical_formula_sum 'Mn8 V18 Ga22'
_cell_length_a 12.4327
_cell_length_b 20.0553
_cell_length_c 2.6692
_cell_angle_alpha 90.00
_cell_angle_beta 90.00
_cell_angle_gamma 90.00
_space_group_name_H-M_alt 'C m m m'
_space_group_IT_number 65
_space_group_name_Hall '-C 2 2'
loop_
_atom_site_label
_atom_site_type_symbol
_atom_site_fract_x
_atom_site_fract_y
_atom_site_fract_z
Mn1 Mn 0.1713 0.1048 0.0000
V1 V 0.0000 0.0000 0.0000
V2 V 0.0990 0.2215 0.0000
V3 V 0.1355 0.4245 0.0000
Ga1 Ga 0.0000 0.1207 0.5000
Ga2 Ga 0.0000 0.3316 0.5000
Ga3 Ga 0.0000 0.5000 0.5000
Ga4 Ga 0.2101 0.0000 0.5000
Ga5 Ga 0.2133 0.3144 0.5000
# ΔH_f (0 K) in eV/atom: -0.068
# E in eV/atom: -6.4031
# Magnetic moment in Bohr magnetons per cell: 11.225


# PBE YTaP2, optimized geometry
data_YTaP2
_chemical_formula_sum 'Y1 Ta1 P2'
_cell_length_a 3.2110
_cell_length_b 3.2483
_cell_length_c 6.7094
_cell_angle_alpha 90.00
_cell_angle_beta 90.07
_cell_angle_gamma 90.00
_space_group_name_H-M_alt 'P 1 2/m 1'
_space_group_IT_number 10
_space_group_name_Hall '-P 2y'
loop_
_atom_site_label
_atom_site_type_symbol
_atom_site_fract_x
_atom_site_fract_y
_atom_site_fract_z
Y1 Y 0.0000 0.0000 0.0000
Ta1 Ta 0.0000 0.0000 0.5000
P1 P 0.4995 0.5000 0.2893
# ΔH_f (0 K) in eV/atom: -0.743
# E in eV/atom: -8.0267
# Magnetic moment in Bohr magnetons per cell: 0.016


# PBE InPb2, optimized geometry
data_InPb2
_chemical_formula_sum 'In2 Pb4'
_cell_length_a 5.5842
_cell_length_b 5.5842
_cell_length_c 6.7708
_cell_angle_alpha 90.00
_cell_angle_beta 90.00
_cell_angle_gamma 120.00
_space_group_name_H-M_alt 'P 63/m m c'
_space_group_IT_number 194
_space_group_name_Hall '-P 6c 2c'
loop_
_atom_site_label
_atom_site_type_symbol
_atom_site_fract_x
_atom_site_fract_y
_atom_site_fract_z
In1 In 0.3333 0.6667 0.2500
Pb1 Pb 0.0000 0.0000 0.0000
Pb2 Pb 0.3333 0.6667 0.7500
# ΔH_f (0 K) in eV/atom: 0.067
# E in eV/atom: -3.3181
# Magnetic moment in Bohr magnetons per cell: 0.000


# PBE LiPu2Au, optimized geometry
data_LiPu2Au
_chemical_formula_sum 'Li1 Pu2 Au1'
_cell_length_a 3.5171
_cell_length_b 3.5171
_cell_length_c 5.3822
_cell_angle_alpha 90.00
_cell_angle_beta 90.00
_cell_angle_gamma 90.00
_space_group_name_H-M_alt 'P 4/m m m'
_space_group_IT_number 123
_space_group_name_Hall '-P 4 2'
loop_
_atom_site_label
_atom_site_type_symbol
_atom_site_fract_x
_atom_site_fract_y
_atom_site_fract_z
Li1 Li 0.0000 0.0000 0.0000
Pu1 Pu 0.0000 0.5000 0.5000
Au1 Au 0.5000 0.5000 0.0000
# ΔH_f (0 K) in eV/atom: 0.208
# E in eV/atom: -8.2556
# Magnetic moment in Bohr magnetons per cell: 0.009


# PBE Ba2PaO5, optimized geometry
data_Ba2PaO5
_chemical_formula_sum 'Ba8 Pa4 O20'
_cell_length_a 8.0974
_cell_length_b 6.1418
_cell_length_c 11.9996
_cell_angle_alpha 90.00
_cell_angle_beta 90.00
_cell_angle_gamma 90.00
_space_group_name_H-M_alt 'P n m a'
_space_group_IT_number 62
_space_group_name_Hall '-P 2ac 2n'
loop_
_atom_site_label
_atom_site_type_symbol
_atom_site_fract_x
_atom_site_fract_y
_atom_site_fract_z
Ba1 Ba 0.0065 0.2500 0.2341
Ba2 Ba 0.1507 0.2500 0.5761
Pa1 Pa 0.1775 0.2500 0.9377
O1 O 0.0000 0.0000 0.0000
O2 O 0.0476 0.2500 0.7889
O3 O 0.1508 0.5021 0.3930
O4 O 0.2223 0.7500 0.6039
# E in eV/atom: -7.6874
# Magnetic moment in Bohr magnetons per cell: 4.274
# Energy relative to the elements, uncorrected in meV/atom: -2921